The following is a PBE calculation of crystalline LiTmPO at its relaxed geometry, from the Open Quantum Materials Database.

a b c (Å): 5.4725 5.4725 4.5001
angles (deg): 90.00 90.00 90.00
Closest atoms and distances in Å follow each position.
Fractional coordinates of all 8 atoms:
Li  0.0000  0.5000  0.0014  2 P 2.25
Li  0.5000  0.0000  0.9986  2 P 2.25
O  0.0000  0.0000  0.0000  2 Tm 2.25
O  0.5000  0.5000  0.0000  2 Tm 2.25
P  0.5000  0.0000  0.4986  2 Li 2.25
P  0.0000  0.5000  0.5014  2 Li 2.25
Tm  0.0000  0.0000  0.5000  2 O 2.25
Tm  0.5000  0.5000  0.5000  2 O 2.25

energy relative to the lowest polymorph listed for this composition: 411 meV per atom
total magnetic moment: 0.0552 μB per atom

The following is a PBE calculation of crystalline LiTmPO at its relaxed geometry, from the Open Quantum Materials Database.

a b c (Å): 3.4132 7.4687 5.6097
angles (deg): 90.00 90.00 90.00
Closest atoms and distances in Å follow each position.
Fractional coordinates of all 8 atoms:
Li  0.5000  0.4218  0.0442  2 O 1.90-1.97
Li  0.5000  0.5782  0.5442  2 O 1.90-1.97
O  0.5000  0.3547  0.3831  2 Li 1.90-1.97, 2 Tm 2.08
O  0.5000  0.6453  0.8831  2 Li 1.90-1.97, 2 Tm 2.08
P  0.0000  0.8266  0.4111  2 Li 2.63, 3 Tm 2.77-2.84
P  0.0000  0.1734  0.9111  2 Li 2.63, 3 Tm 2.77-2.84
Tm  0.0000  0.1969  0.4157  2 O 2.08
Tm  0.0000  0.8031  0.9157  2 O 2.08

energy relative to the lowest polymorph listed for this composition: 98 meV per atom
total magnetic moment: 0.0002 μB per atom

The following is a PBE calculation of crystalline LiTmPO at its relaxed geometry, from the Open Quantum Materials Database.

a b c (Å): 5.4744 5.4744 4.5003
angles (deg): 90.00 90.00 90.00
Closest atoms and distances in Å follow each position.
Fractional coordinates of all 8 atoms:
Li  0.0000  0.5000  0.0003  2 P 2.25
Li  0.5000  0.0000  0.9997  2 P 2.25
O  0.0000  0.0000  0.0000  2 Tm 2.25
O  0.5000  0.5000  0.0000  2 Tm 2.25
P  0.5000  0.0000  0.4997  2 Li 2.25
P  0.0000  0.5000  0.5003  2 Li 2.25
Tm  0.0000  0.0000  0.5000  2 O 2.25
Tm  0.5000  0.5000  0.5000  2 O 2.25

energy relative to the lowest polymorph listed for this composition: 411 meV per atom
total magnetic moment: 0.0561 μB per atom

The following is a PBE calculation of crystalline LiTmPO at its relaxed geometry, from the Open Quantum Materials Database.

a b c (Å): 3.6959 3.6959 9.3965
angles (deg): 90.00 90.00 90.00
Closest atoms and distances in Å follow each position.
Fractional coordinates of all 8 atoms:
Li  0.0000  0.0000  0.5000  4 P 2.54, 4 Li 2.61
Li  0.5000  0.5000  0.5000  4 P 2.54, 4 Li 2.61
O  0.0000  0.0000  0.0000  4 Tm 2.17
O  0.5000  0.5000  0.0000  4 Tm 2.17
P  0.5000  0.0000  0.3139  4 Li 2.54
P  0.0000  0.5000  0.6861  4 Li 2.54
Tm  0.0000  0.5000  0.1214  4 O 2.17
Tm  0.5000  0.0000  0.8786  4 O 2.17

energy relative to the lowest polymorph listed for this composition: 0 meV per atom
total magnetic moment: 0.0006 μB per atom

- Which formula does entry 1 have?
  LiTmPO

- The highest total magnetic moment belongs to which entry?
  number 3